# PBE+U Cs2MnH12S2O14, optimized geometry
data_Cs2MnH12S2O14
_chemical_formula_sum 'Cs4 Mn2 H24 S4 O28'
_space_group_name_H-M_alt 'P 1'
_space_group_IT_number 1
_space_group_name_Hall 'P 1'
_cell_length_a 6.4786
_cell_length_b 13.0990
_cell_length_c 9.4752
_cell_angle_alpha 90.00
_cell_angle_beta 106.13
_cell_angle_gamma 90.00
loop_
_atom_site_label
_atom_site_type_symbol
_atom_site_fract_x
_atom_site_fract_y
_atom_site_fract_z
Cs1 Cs 0.1512 0.1438 0.3696
Cs2 Cs 0.1512 0.3562 0.8696
Cs3 Cs 0.8488 0.6438 0.1304
Cs4 Cs 0.8488 0.8562 0.6304
Mn1 Mn 0.5000 0.0000 0.0000
Mn2 Mn 0.5000 0.5000 0.5000
H1 H 0.1648 0.5701 0.6073
H2 H 0.1648 0.9299 0.1073
H3 H 0.1748 0.1010 0.7808
H4 H 0.1748 0.3990 0.2808
H5 H 0.1843 0.6449 0.4810
H6 H 0.1843 0.8551 0.9810
H7 H 0.4064 0.1305 0.7574
H8 H 0.4064 0.3695 0.2574
H9 H 0.4169 0.6023 0.2177
H10 H 0.4169 0.8977 0.7177
H11 H 0.4738 0.6877 0.3413
H12 H 0.4738 0.8123 0.8413
H13 H 0.5262 0.1877 0.1587
H14 H 0.5262 0.3123 0.6587
H15 H 0.5831 0.1023 0.2823
H16 H 0.5831 0.3977 0.7823
H17 H 0.5936 0.6305 0.7426
H18 H 0.5936 0.8695 0.2426
H19 H 0.8157 0.1449 0.0190
H20 H 0.8157 0.3551 0.5190
H21 H 0.8252 0.6010 0.7192
H22 H 0.8252 0.8990 0.2192
H23 H 0.8352 0.0701 0.8927
H24 H 0.8352 0.4299 0.3927
S1 S 0.2372 0.6464 0.8976
S2 S 0.2372 0.8536 0.3976
S3 S 0.7628 0.1464 0.6024
S4 S 0.7628 0.3536 0.1024
O1 O 0.1041 0.5831 0.7727
O2 O 0.1041 0.9169 0.2727
O3 O 0.1071 0.7367 0.9166
O4 O 0.1071 0.7633 0.4166
O5 O 0.2047 0.5723 0.5133
O6 O 0.2047 0.9277 0.0133
O7 O 0.2926 0.5825 0.0326
O8 O 0.2926 0.9175 0.5326
O9 O 0.3297 0.1129 0.8311
O10 O 0.3297 0.3871 0.3311
O11 O 0.4376 0.6816 0.8620
O12 O 0.4376 0.8184 0.3620
O13 O 0.5002 0.1148 0.1783
O14 O 0.5002 0.3852 0.6783
O15 O 0.4998 0.6148 0.3217
O16 O 0.4998 0.8852 0.8217
O17 O 0.5624 0.1816 0.6380
O18 O 0.5624 0.3184 0.1380
O19 O 0.6703 0.6129 0.6689
O20 O 0.6703 0.8871 0.1689
O21 O 0.7074 0.0825 0.4674
O22 O 0.7074 0.4175 0.9674
O23 O 0.7953 0.0723 0.9867
O24 O 0.7953 0.4277 0.4867
O25 O 0.8929 0.2367 0.5834
O26 O 0.8929 0.2633 0.0834
O27 O 0.8959 0.0831 0.7273
O28 O 0.8959 0.4169 0.2273
# N(E_F): 0.00 states/eV/f.u.
# VASP energy: -0.20066 Ha/atom